# Tm3WSe2O6 GGA+U optimized geometry
data_Tm3WSe2O6
_cell_length_a 5.545
_cell_length_b 6.424
_cell_length_c 6.628
_cell_angle_alpha 118.99
_cell_angle_beta 81.24
_cell_angle_gamma 90.00
_symmetry_space_group_name_H-M 'P 1'
_symmetry_Int_Tables_number 1
loop_
_symmetry_equiv_pos_as_xyz
'x,y,z'
loop_
_atom_site_label
_atom_site_type_symbol
_atom_site_fract_x
_atom_site_fract_y
_atom_site_fract_z
_atom_site_occupancy
O1 O 0.662 0.837 0.674 1
Tm1 Tm 0.500 0.500 0.500 1
Se1 Se 0.877 0.284 0.568 1
Tm2 Tm 0.000 0.500 0.000 1
O2 O 0.300 0.176 0.891 1
O3 O 0.700 0.285 0.109 1
Tm3 Tm 0.500 0.000 0.500 1
O4 O 0.300 0.715 0.891 1
O5 O 0.338 0.163 0.326 1
Se2 Se 0.123 0.716 0.432 1
W1 W 0.500 0.000 0.000 1
O6 O 0.700 0.824 0.109 1
# total moment	0.38	μB/cell
# space-group type	C2/m
# DFT total energy	-7.016	eV per atom